Arrangement one

HgGeSeO | OQMD | PBE | optimized geometry; calculated volume = 346.1 Å³/cell; symmetry = No. 29
1.0
6.065 0.000 0.000
0.000 9.551 0.000
0.000 0.000 5.975
Hg Ge Se O
4 4 4 4
direct
0.054 0.091 0.000 Hg
0.446 0.091 0.500 Hg
0.554 0.909 0.000 Hg
0.946 0.909 0.500 Hg
0.042 0.681 0.005 Ge
0.458 0.681 0.505 Ge
0.542 0.319 0.005 Ge
0.958 0.319 0.505 Ge
0.024 0.653 0.548 Se
0.476 0.653 0.048 Se
0.524 0.347 0.548 Se
0.976 0.347 0.048 Se
0.001 0.872 0.032 O
0.499 0.872 0.532 O
0.501 0.128 0.032 O
0.999 0.128 0.532 O

=====

Arrangement two

HgGeSeO | OQMD | PBE | optimized geometry; calculated volume = 366.3 Å³/cell; symmetry = No. 19
1.0
6.848 0.000 0.000
0.000 6.945 0.000
0.000 0.000 7.703
Hg Ge Se O
4 4 4 4
direct
0.246 0.038 0.141 Hg
0.254 0.962 0.641 Hg
0.746 0.462 0.859 Hg
0.754 0.538 0.359 Hg
0.249 0.548 0.390 Ge
0.251 0.452 0.890 Ge
0.749 0.952 0.610 Ge
0.751 0.048 0.110 Ge
0.075 0.837 0.908 Se
0.425 0.163 0.408 Se
0.575 0.663 0.092 Se
0.925 0.337 0.592 Se
0.092 0.339 0.033 O
0.408 0.661 0.533 O
0.592 0.161 0.967 O
0.908 0.839 0.467 O

=====

How do the structures above rank in stability at the extremes? arrangement two comes first and arrangement one comes last.